{
  "formula": "MgAlGe",
  "functional": "PBE",
  "state": "optimized geometry",
  "lattice": [[3.470, 0.000, 0.000], [0.000, 3.470, 0.000], [-1.735, -1.735, 4.746]],
  "species": ["Mg", "Al", "Ge"],
  "frac_coords": [[0.619, 0.619, 0.237], [0.935, 0.935, 0.870], [0.297, 0.297, 0.593]],
  "total_energy_ev_per_atom": -3.27,
  "space_group": "I4mm",
  "formation_energy_kj_per_mol_atoms": 5
}

{
  "formula": "MgAlGe",
  "functional": "PBE",
  "state": "optimized geometry",
  "lattice": [[-4.142, -0.924, 1.462], [-1.110, -4.212, 1.083], [-0.668, -1.111, 4.297]],
  "species": ["Ge", "Mg", "Al"],
  "frac_coords": [[0.250, 0.250, 0.250], [0.500, 0.500, 0.500], [0.000, 0.000, 0.000]],
  "total_energy_ev_per_atom": -3.29,
  "space_group": "F-43m",
  "formation_energy_kj_per_mol_atoms": 3
}

{
  "formula": "Mg4Al2Ge",
  "functional": "PBE",
  "state": "optimized geometry",
  "lattice": [[-4.967, -1.583, 0.757], [0.973, -0.592, 5.143], [-3.824, 5.155, 4.014]],
  "species": ["Al", "Al", "Mg", "Mg", "Mg", "Mg", "Ge"],
  "frac_coords": [[0.400, 0.400, 0.201], [0.600, 0.600, 0.799], [0.804, 0.804, 0.391], [0.000, 0.500, 0.000], [0.196, 0.196, 0.609], [0.500, 0.000, 0.000], [0.000, 0.000, 0.000]],
  "total_energy_ev_per_atom": -2.31,
  "space_group": "I4/mmm",
  "formation_energy_kj_per_mol_atoms": 32
}